Here is Nb2NiH4 after structural relaxation from Alexandria via LeMat-Bulk. Energies are from PBE. Values from VASP.

Values from the calculation:
- space group = P2_1/m
- D(E_F) (states/eV/f.u.) = 2.681
- V (Å³/atom) = 8.63
- offset from the most stable computed form (eV per atom) = 0.0200
- M_tot (μB per formula unit) = 0.00

```
&SYSTEM
  ibrav = 0, nat = 14, ntyp = 3
/
ATOMIC_SPECIES
Nb 92.91 Nb.upf
Ni 58.69 Ni.upf
H 1.01 H.upf
CELL_PARAMETERS angstrom
-0.872 -2.407 4.459
-2.322 -2.829 -1.982
4.886 -2.355 -2.363
ATOMIC_POSITIONS crystal
Nb 0.806 0.750 0.079
Nb 0.194 0.250 0.921
Nb 0.188 0.250 0.433
Nb 0.812 0.750 0.567
Ni 0.350 0.750 0.213
Ni 0.650 0.250 0.787
H 0.583 0.487 0.265
H 0.106 0.750 0.909
H 0.894 0.250 0.091
H 0.583 0.013 0.265
H 0.896 0.250 0.604
H 0.417 0.987 0.735
H 0.417 0.513 0.735
H 0.104 0.750 0.396
```